[1]
Here is an optimized crystal structure of Y2Si2Ge from Alexandria via LeMat-Bulk. Energies are from GGA-PBEsol.

Results
Energy above the lowest structure with this stoichiometry: 0 meV/atom
Final energy: -6.76 eV/atom
Formation energy (no corrections): -0.742 eV per atom

Cell lengths 4.1380, 6.9876, 6.9876 Å; angles 90.00, 90.00, 90.00 degrees
Fractional coordinates of all 10 atoms:
Y 0.5000 0.1797 0.6797
Y 0.5000 0.6797 0.8203
Y 0.5000 0.8203 0.3203
Y 0.5000 0.3203 0.1797
Ge 0.0000 0.0000 0.0000
Ge 0.0000 0.5000 0.5000
Si 0.0000 0.3804 0.8804
Si 0.0000 0.8804 0.6196
Si 0.0000 0.6196 0.1196
Si 0.0000 0.1196 0.3804

[2]
Here is an optimized crystal structure of FeCo16NiS16 from Alexandria via LeMat-Bulk. Energies are from GGA-PBEsol.

Results
Final energy: -6.74 eV/atom
Formation energy (no corrections): -0.590 eV per atom

Cell lengths 6.8297, 6.8297, 9.6517 Å; angles 90.00, 90.00, 90.00 degrees
Fractional coordinates of all 34 atoms:
Fe 0.0000 0.0000 0.5000
Co 0.2533 0.0000 0.8724
Co 0.7525 0.5000 0.3745
Co 0.5000 0.2475 0.6255
Co 0.0000 0.7467 0.1276
Co 0.5000 0.7525 0.6255
Co 0.0000 0.2533 0.1276
Co 0.7467 0.0000 0.8724
Co 0.2475 0.5000 0.3745
Co 0.7467 0.0000 0.1276
Co 0.2475 0.5000 0.6255
Co 0.5000 0.7525 0.3745
Co 0.0000 0.2533 0.8724
Co 0.5000 0.2475 0.3745
Co 0.0000 0.7467 0.8724
Co 0.2533 0.0000 0.1276
Co 0.7525 0.5000 0.6255
Ni 0.5000 0.5000 0.0000
S 0.0000 0.0000 0.7346
S 0.5000 0.5000 0.2413
S 0.7650 0.7650 0.5000
S 0.2589 0.2589 0.0000
S 0.7650 0.2350 0.5000
S 0.2589 0.7411 0.0000
S 0.0000 0.0000 0.2654
S 0.5000 0.5000 0.7587
S 0.2350 0.2350 0.5000
S 0.7411 0.7411 0.0000
S 0.2350 0.7650 0.5000
S 0.7411 0.2589 0.0000
S 0.5000 0.0000 0.7476
S 0.0000 0.5000 0.2524
S 0.5000 0.0000 0.2524
S 0.0000 0.5000 0.7476

[3]
Here is an optimized crystal structure of YGe3B from Alexandria via LeMat-Bulk. Energies are from GGA-PBEsol.

Results
ΔH_f (0 K): 0.2168 eV/atom
Final energy: -5.51 eV/atom

Cell lengths 4.4646, 4.4646, 4.4646 Å; angles 90.00, 90.00, 90.00 degrees
Fractional coordinates of all 5 atoms:
Y 0.5000 0.5000 0.5000
Ge 0.0000 0.5000 0.0000
Ge 0.0000 0.0000 0.5000
Ge 0.5000 0.0000 0.0000
B 0.0000 0.0000 0.0000

[4]
Here is an optimized crystal structure of Zr2P2SO12 from Alexandria via LeMat-Bulk. Energies are from GGA-PBEsol.

Results
Final energy: -8.25 eV/atom
Formation energy (no corrections): -2.537 eV per atom

Cell lengths 8.9479, 9.0067, 12.5087 Å; angles 90.00, 89.62, 90.00 degrees
Fractional coordinates of all 68 atoms:
Zr 0.7532 0.2857 0.3827
Zr 0.7556 0.7809 0.1136
Zr 0.7510 0.2189 0.8843
Zr 0.7478 0.7130 0.6237
Zr 0.2556 0.2191 0.6136
Zr 0.2532 0.7143 0.8827
Zr 0.2478 0.2870 0.1237
Zr 0.2510 0.7811 0.3843
P 0.8908 0.1385 0.1433
P 0.8948 0.8644 0.8559
P 0.6099 0.3604 0.6456
P 0.3908 0.8615 0.6433
P 0.1099 0.6396 0.1456
P 0.3948 0.1356 0.3559
P 0.5297 0.5002 0.0019
P 0.0297 0.4998 0.5019
S 0.6098 0.6397 0.3548
S 0.1098 0.3603 0.8548
S 0.9678 0.9990 0.4994
S 0.4678 0.0010 0.9994
O 0.6257 0.6079 0.0673
O 0.8739 0.1014 0.4373
O 0.8689 0.8971 0.5579
O 0.6322 0.3954 0.9380
O 0.3739 0.8986 0.9373
O 0.1257 0.3921 0.5673
O 0.1322 0.6046 0.4380
O 0.3689 0.1029 0.0579
O 0.6734 0.7409 0.2739
O 0.8262 0.2364 0.2336
O 0.8244 0.7689 0.7672
O 0.6815 0.2639 0.7324
O 0.3262 0.7636 0.7336
O 0.1734 0.2591 0.7739
O 0.1815 0.7361 0.2324
O 0.3244 0.2311 0.2672
O 0.9325 0.4130 0.4222
O 0.5601 0.9196 0.0764
O 0.5622 0.0832 0.9221
O 0.9290 0.5899 0.5777
O 0.0601 0.0804 0.5764
O 0.4325 0.5870 0.9222
O 0.4290 0.4101 0.0777
O 0.0622 0.9168 0.4221
O 0.6472 0.4840 0.3279
O 0.8503 0.9751 0.1645
O 0.8603 0.0290 0.8364
O 0.6410 0.5260 0.6680
O 0.3503 0.0249 0.6645
O 0.1472 0.5160 0.8279
O 0.1410 0.4740 0.1680
O 0.3603 0.9710 0.3364
O 0.9392 0.6624 0.1473
O 0.5637 0.1631 0.3562
O 0.5614 0.8420 0.6402
O 0.9450 0.3478 0.8541
O 0.0637 0.8369 0.8562
O 0.4392 0.3376 0.6473
O 0.4450 0.6522 0.3541
O 0.0614 0.1580 0.1402
O 0.6686 0.6792 0.4600
O 0.8246 0.1875 0.0359
O 0.8256 0.8160 0.9633
O 0.6726 0.3192 0.5352
O 0.3246 0.8125 0.5359
O 0.1686 0.3208 0.9600
O 0.1726 0.6808 0.0352
O 0.3256 0.1840 0.4633

Please write out number 1 again, unchanged.
Here is an optimized crystal structure of Y2Si2Ge from Alexandria via LeMat-Bulk. Energies are from GGA-PBEsol.

Results
Energy above the lowest structure with this stoichiometry: 0 meV/atom
Final energy: -6.76 eV/atom
Formation energy (no corrections): -0.742 eV per atom

Cell lengths 4.1380, 6.9876, 6.9876 Å; angles 90.00, 90.00, 90.00 degrees
Fractional coordinates of all 10 atoms:
Y 0.5000 0.1797 0.6797
Y 0.5000 0.6797 0.8203
Y 0.5000 0.8203 0.3203
Y 0.5000 0.3203 0.1797
Ge 0.0000 0.0000 0.0000
Ge 0.0000 0.5000 0.5000
Si 0.0000 0.3804 0.8804
Si 0.0000 0.8804 0.6196
Si 0.0000 0.6196 0.1196
Si 0.0000 0.1196 0.3804